A plane-wave DFT calculation with PBE with a Hubbard U was carried out for crystalline Cs3Rb3ZnCoO5 at its relaxed geometry.

Values from the calculation:
Energy ... -3.98 eV per atom
Total magnetization ... 3.00 μB per cell
V ... 23.70 A^3/atom

Cell lengths 7.0355, 7.0355, 7.0426 Å; angles 92.67, 92.67, 117.46 degrees
Last column: nearest neighbours and their distance in Å.
Fractional positions:
Cs 0.0000 0.0000 0.0000  2 O 2.98, 1 Co 3.17
Cs 0.1626 0.5715 0.2062  4 O 2.79-3.09
Cs 0.5715 0.1626 0.2062  4 O 2.79-3.09
Rb 0.1220 0.5888 0.6969  5 O 2.84-2.98
Rb 0.5888 0.1220 0.6969  5 O 2.84-2.98
Rb 0.7248 0.7248 0.4044  3 O 2.83-2.88
Zn 0.1678 0.1678 0.5126  3 O 1.90-1.94
Co 0.5740 0.5740 0.8653  3 O 1.83-1.95
O 0.1862 0.9120 0.4441  1 Zn 1.90
O 0.4194 0.4194 0.6256  1 Zn 1.94, 1 Co 1.95
O 0.5218 0.7915 0.9574  1 Co 1.83
O 0.7915 0.5218 0.9574  1 Co 1.83
O 0.9120 0.1862 0.4441  1 Zn 1.90